Density functional theory data (PBE+U) for an optimized crystal structure of Pr2FeAs2RuO2.

Calculated values
Total DFT energy (no corrections) (hartree per atom): -0.26030
Crystal system: tetragonal
SG: No. 115

Unit cell a=4.090 b=4.090 c=8.785 alpha=90.00 beta=90.00 gamma=90.00
Element x y z (fractional)
Pr: 0.000 0.500 0.136
Pr: 0.500 0.000 0.864
Fe: 0.500 0.500 0.500
As: 0.000 0.500 0.666
As: 0.500 0.000 0.334
Ru: 0.000 0.000 0.500
O: 0.000 0.000 0.000
O: 0.500 0.500 0.000